DFT (PBE) results for a relaxed structure of TiCoNi2Mo.

Summary:
Symmetry: No. 123
E, eV/cell: -33.22
Total moment, μB per formula unit: 1.8
Fermi-level density of states, states/eV per cell: 8.22
Energy relative to the elements, meV per atom: 835

Lattice parameters (Å, degrees): 4.2712 4.3065 4.2712 90.00 90.00 90.00
Last column: nearest neighbours and their distance in Å.
Sites, in units of the cell vectors:
Ni1 0.0000 0.0000 0.5000  2 Co 2.14
Ni2 0.5000 0.0000 0.0000  2 Co 2.14
Mo1 0.0000 0.5000 0.0000  2 Co 2.15
Co1 0.0000 0.0000 0.0000  4 Ni 2.14, 2 Mo 2.15
Ti1 0.5000 0.5000 0.5000  4 Mo 3.02, 8 Ni 3.03



DFT (PBE) results for a relaxed structure of ZnCoNiMo.

Summary:
Symmetry: No. 216
E, eV/cell: -24.81
Total moment, μB per formula unit: 1.1
Fermi-level density of states, states/eV per cell: 4.85
Energy relative to the elements, meV per atom: 46

Lattice parameters (Å, degrees): 4.1593 4.1593 4.1593 60.00 60.00 60.00
Last column: nearest neighbours and their distance in Å.
Sites, in units of the cell vectors:
Ni1 0.0000 0.0000 0.0000  4 Mo 2.55, 4 Zn 2.55
Mo1 0.7500 0.7500 0.7500  4 Co 2.55, 4 Ni 2.55
Co1 0.5000 0.5000 0.5000  4 Mo 2.55, 4 Zn 2.55
Zn1 0.2500 0.2500 0.2500  4 Ni 2.55, 4 Co 2.55



DFT (PBE) results for a relaxed structure of NpCoMo.

Summary:
Symmetry: No. 63
E, eV/cell: -61.12
Total moment, μB per formula unit: 0.0
Fermi-level density of states, states/eV per cell: 9.27
Energy relative to the elements, meV per atom: 105

Lattice parameters (Å, degrees): 3.5423 3.4549 7.5301 76.74 90.00 90.00
Last column: nearest neighbours and their distance in Å.
Sites, in units of the cell vectors:
Mo1 0.2500 0.0895 0.8210  6 Co 2.53-2.70
Mo2 0.7500 0.9105 0.1790  6 Co 2.53-2.70
Co1 0.2500 0.4475 0.1049  2 Co 2.35, 1 Np 2.40, 4 Mo 2.53
Co2 0.7500 0.5525 0.8951  2 Co 2.35, 1 Np 2.40, 4 Mo 2.53
Np1 0.7500 0.7162 0.5677  1 Co 2.40, 4 Np 2.67
Np2 0.2500 0.2838 0.4323  1 Co 2.40, 4 Np 2.67



DFT (PBE) results for a relaxed structure of NpCo4Mo.

Summary:
Symmetry: No. 216
E, eV/cell: -51.65
Total moment, μB per formula unit: 2.5
Fermi-level density of states, states/eV per cell: 9.73
Energy relative to the elements, meV per atom: 90

Lattice parameters (Å, degrees): 4.8060 4.8060 4.8060 60.00 60.00 60.00
Last column: nearest neighbours and their distance in Å.
Sites, in units of the cell vectors:
Np1 0.2500 0.2500 0.2500  12 Co 2.82, 4 Mo 2.94
Mo1 0.0000 0.0000 0.0000  12 Co 2.82, 4 Np 2.94
Co1 0.6253 0.6253 0.1241  6 Co 2.40-2.41
Co2 0.6253 0.1241 0.6253  6 Co 2.40-2.41
Co3 0.6253 0.6253 0.6253  6 Co 2.40-2.41
Co4 0.1241 0.6253 0.6253  6 Co 2.40-2.41